Entry from Alexandria: a relaxed Ba2CrPtO6 crystal (PBE with a Hubbard U).

## Properties
Calculated volume ... 150 Å³/cell
Spin magnetization ... 2.00 μB per formula unit
E ... -6.525 eV per atom

```
10
Lattice="-4.173 0.284 2.908 -3.344 -0.301 -4.770 1.591 -4.886 2.760" Properties=species:S:1:pos:R:3 pbc="T T T"
Ba -1.089 -3.288 0.971
Ba -4.837 -1.616 -0.074
Cr -2.087 0.142 1.454
Pt 0.000 0.000 0.000
O -3.107 -1.339 2.262
O -2.249 -3.972 3.750
O -4.051 -4.135 1.179
O -3.677 -0.932 -2.852
O -1.875 -0.769 -0.281
O -2.820 -3.565 -1.365
```